# Pr8Er6Th

An optimized crystal structure of Pr8Er6Th (GGA-PBE, Alexandria via LeMat-Bulk).

Cell lengths 9.1420, 9.1420, 21.1200 Å; angles 90.00, 90.00, 120.00 degrees
Space group R-3 (No. 148, hexagonal axes)
Inequivalent atoms, fractional coordinates:
Pr 0.0000 0.0000 0.0785
Pr 0.0807 0.5629 0.3036
Er 0.0425 0.2430 0.2060
Th 0.0000 0.0000 0.5000

Total magnetization in μB/atom: 0.000
Electronic total energy in eV per cell: -213.4
Formation energy in eV per formula unit: 1.892
DOS at the Fermi energy in states/eV/cell: 70.73

***

# Ac4TePbS2

An optimized crystal structure of Ac4TePbS2 (GGA-PBE, Alexandria via LeMat-Bulk).

Cell lengths 9.0203, 9.2516, 12.9236 Å; angles 90.00, 90.00, 90.00 degrees
Space group Imma (No. 74)
Inequivalent atoms, fractional coordinates:
Ac 0.0000 0.0209 0.2428
Ac 0.2348 0.2500 0.0102
Te 0.2500 0.2500 0.7500
Pb 0.0000 0.0000 0.5000
S 0.0000 0.0000 0.0000
S 0.2500 0.2500 0.2500

Total magnetization in μB/atom: 0.000
Uncorrected formation energy in eV/atom: -1.494
Electronic total energy in eV per cell: -173.9
DOS at the Fermi energy in states/eV/cell: 14.85

***

# Rb3PbO3

An optimized crystal structure of Rb3PbO3 (GGA-PBE, Alexandria via LeMat-Bulk).

Cell lengths 8.0937, 7.3944, 11.9066 Å; angles 90.00, 93.68, 90.00 degrees
Space group P2_1/c (No. 14)
Inequivalent atoms, fractional coordinates:
Rb 0.0803 0.1317 0.1581
Rb 0.3584 0.1767 0.9188
Rb 0.3771 0.7057 0.8170
Pb 0.1607 0.6034 0.0731
O 0.1162 0.0333 0.4042
O 0.2742 0.6296 0.5431
O 0.3095 0.0619 0.6917

Total magnetization in μB/atom: 0.000
Uncorrected formation energy in eV/atom: -1.125
Electronic total energy in eV per cell: -117.5
DOS at the Fermi energy in states/eV/cell: 5.93
Energy above the lowest structure with this stoichiometry in eV/f.u.: 0.00

***

# SrBH3

An optimized crystal structure of SrBH3 (GGA-PBE, Alexandria via LeMat-Bulk).

Cell lengths 3.5138, 3.5138, 3.5138 Å; angles 90.00, 90.00, 90.00 degrees
Space group Pm-3m (No. 221)
Inequivalent atoms, fractional coordinates:
Sr 0.0000 0.0000 0.0000
B 0.5000 0.5000 0.5000
H 0.0000 0.5000 0.5000

Total magnetization in μB/atom: 0.000
Electronic total energy in eV per cell: -17.3
DOS at the Fermi energy in states/eV/cell: 0.74
Energy above the lowest structure with this stoichiometry in eV/f.u.: 0.00

***

# Ga4RuPtRh2

An optimized crystal structure of Ga4RuPtRh2 (GGA-PBE, Alexandria via LeMat-Bulk).

Cell lengths 4.3186, 4.3186, 21.1824 Å; angles 90.00, 90.00, 120.00 degrees
Space group R-3m (No. 166, hexagonal axes)
Inequivalent atoms, fractional coordinates:
Ga 0.0000 0.0000 0.1216
Ga 0.0000 0.0000 0.3718
Ru 0.0000 0.0000 0.0000
Pt 0.0000 0.0000 0.5000
Rh 0.0000 0.0000 0.2472

Total magnetization in μB/atom: 0.000
Electronic total energy in eV per cell: -140.0
Formation energy in eV per formula unit: -4.547
DOS at the Fermi energy in states/eV/cell: 5.63

***

# ErTm14Zr

An optimized crystal structure of ErTm14Zr (GGA-PBE, Alexandria via LeMat-Bulk).

Cell lengths 10.8024, 8.0792, 10.9145 Å; angles 90.00, 90.00, 90.00 degrees
Space group Amm2 (No. 38)
Inequivalent atoms, fractional coordinates:
Er 0.0000 0.0000 0.0000
Tm 0.0000 0.2040 0.2727
Tm 0.2276 0.0000 0.7604
Tm 0.2415 0.2068 0.4866
Tm 0.2717 0.0000 0.2049
Tm 0.5000 0.0000 0.4191
Tm 0.5000 0.0000 0.9668
Tm 0.5000 0.2040 0.6951
Zr 0.0000 0.0000 0.5569

Total magnetization in μB/atom: 0.000
Electronic total energy in eV per cell: -149.4
Formation energy in eV per formula unit: 1.030
DOS at the Fermi energy in states/eV/cell: 57.30

***

# TbY3Tl4S8

An optimized crystal structure of TbY3Tl4S8 (GGA-PBE, Alexandria via LeMat-Bulk).

Cell lengths 8.0805, 8.0805, 22.5544 Å; angles 90.00, 90.00, 120.00 degrees
Space group R-3m (No. 166, hexagonal axes)
Inequivalent atoms, fractional coordinates:
Tb 0.0000 0.0000 0.0000
Y 0.0000 0.5000 0.0000
Tl 0.0000 0.0000 0.5000
Tl 0.0000 0.5000 0.5000
S 0.0000 0.0000 0.2673
S 0.0006 0.5003 0.2672

Total magnetization in μB/atom: 0.000
Uncorrected formation energy in eV/atom: -1.492
Electronic total energy in eV per cell: -271.1
DOS at the Fermi energy in states/eV/cell: 0.00

***

# SiH

An optimized crystal structure of SiH (GGA-PBE, Alexandria via LeMat-Bulk).

Cell lengths 3.8771, 3.8771, 5.2528 Å; angles 90.00, 90.00, 120.00 degrees
Space group P-3m1 (No. 164)
Inequivalent atoms, fractional coordinates:
Si 0.3333 0.6667 0.4315
H 0.3333 0.6667 0.1458

Total magnetization in μB/atom: 0.000
Electronic total energy in eV per cell: -17.5
DOS at the Fermi energy in states/eV/cell: 0.00
Energy above the lowest structure with this stoichiometry in eV/f.u.: 0.00

***

# CuO

An optimized crystal structure of CuO (GGA-PBE, Alexandria via LeMat-Bulk).

Cell lengths 5.0379, 5.5639, 6.4231 Å; angles 90.00, 90.00, 90.00 degrees
Space group P2_12_12_1 (No. 19)
Inequivalent atoms, fractional coordinates:
Cu 0.2266 0.0338 0.0689
Cu 0.2420 0.5084 0.7889
O 0.1081 0.3944 0.0407
O 0.1186 0.8803 0.8296

Total magnetization in μB/atom: 0.000
Uncorrected formation energy in eV/atom: -0.393
Electronic total energy in eV per cell: -78.7
DOS at the Fermi energy in states/eV/cell: 13.40

***

# ZrFe2Br

An optimized crystal structure of ZrFe2Br (GGA-PBE, Alexandria via LeMat-Bulk).

Cell lengths 6.4057, 6.4057, 6.4057 Å; angles 90.00, 90.00, 90.00 degrees
Space group Fm-3m (No. 225)
Inequivalent atoms, fractional coordinates:
Zr 0.0000 0.0000 0.0000
Fe 0.2500 0.2500 0.2500
Br 0.0000 0.0000 0.5000

Total magnetization in μB/atom: 0.871
Uncorrected formation energy in eV/atom: 0.647
Electronic total energy in eV per cell: -98.2
DOS at the Fermi energy in states/eV/cell: 26.33
Energy above the lowest structure with this stoichiometry in eV/f.u.: 2.55

***

# ZrBiCl3

An optimized crystal structure of ZrBiCl3 (GGA-PBE, Alexandria via LeMat-Bulk).

Cell lengths 5.5662, 5.5662, 5.5662 Å; angles 90.00, 90.00, 90.00 degrees
Space group Pm-3m (No. 221)
Inequivalent atoms, fractional coordinates:
Zr 0.0000 0.0000 0.0000
Bi 0.5000 0.5000 0.5000
Cl 0.0000 0.5000 0.5000

Total magnetization in μB/atom: 0.642
Uncorrected formation energy in eV/atom: 0.232
Electronic total energy in eV per cell: -16.8
DOS at the Fermi energy in states/eV/cell: 7.33
Energy above the lowest structure with this stoichiometry in eV/f.u.: 4.44

***

# Ba6Sb2Te3Cl

An optimized crystal structure of Ba6Sb2Te3Cl (GGA-PBE, Alexandria via LeMat-Bulk).

Cell lengths 21.8839, 4.8467, 10.1941 Å; angles 90.00, 103.71, 90.00 degrees
Space group C2/m (No. 12)
Inequivalent atoms, fractional coordinates:
Ba 0.0019 0.0000 0.2544
Ba 0.1694 0.5000 0.0842
Ba 0.1686 0.5000 0.5840
Sb 0.1637 0.0000 0.3269
Te 0.0000 0.5000 0.5000
Te 0.1630 0.0000 0.8351
Cl 0.0000 0.5000 0.0000

Total magnetization in μB/atom: 0.000
Uncorrected formation energy in eV/atom: -1.531
Electronic total energy in eV per cell: -98.8
DOS at the Fermi energy in states/eV/cell: 19.17